# 1
## Zr4GaAuC2 (PBE)

Data for a relaxed structure of Zr4GaAuC2.

The space group is P-6m2 (No. 187) and the conventional cell measures 3.3361, 3.3361 and 14.2557 Å, with angles of 90.00, 90.00 and 120.00 degrees. The distinct sites, in fractional coordinates, are Zr at (0.0000, 0.0000, 0.1597), Zr at (0.3333, 0.6667, 0.3396), Ga at (0.3333, 0.6667, 0.0000), Au at (0.0000, 0.0000, 0.5000) and C at (0.6667, 0.3333, 0.2484).

As for the total moment: 0.00 μB/atom. Its crystal system is hexagonal. The calculation puts the final energy at -64.438 eV/cell.


# 2
## HfNb2Si2 (PBE)

Data for a relaxed structure of HfNb2Si2.

The space group is I4/mmm (No. 139) and the conventional cell measures 3.5618, 3.5618 and 13.8652 Å, with angles of 90.00, 90.00 and 90.00 degrees. The distinct sites, in fractional coordinates, are Hf at (0.0000, 0.0000, 0.0000), Nb at (0.0000, 0.0000, 0.3906) and Si at (0.0000, 0.5000, 0.2500).

As for the total moment: 0.00 μB/atom. Its crystal system is tetragonal. The calculation puts the final energy at -82.276 eV/cell.